(1)
{
  "formula": "TbBe4Au8",
  "functional": "PBE",
  "state": "relaxed",
  "e_form_ev_per_atom": 0.046,
  "space_group": "R-3m, No. 166",
  "relative_energy_mev_per_atom": 323,
  "crystal_system": "trigonal",
  "lattice": [[2.9696, 1.7145, 7.5876], [-2.9696, 1.7145, 7.5876], [0.0000, -3.4290, 7.5876]],
  "species": ["Tb", "Be", "Be", "Be", "Be", "Au", "Au", "Au", "Au", "Au", "Au", "Au", "Au"],
  "fractional_positions": [[0.0000, 0.0000, 0.0000], [0.0000, 0.5000, 0.5000], [0.5000, 0.0000, 0.5000], [0.5000, 0.5000, 0.0000], [0.5000, 0.5000, 0.5000], [0.2191, 0.7329, 0.7329], [0.2671, 0.2671, 0.7809], [0.2671, 0.7809, 0.2671], [0.2704, 0.2704, 0.2704], [0.7296, 0.7296, 0.7296], [0.7329, 0.2191, 0.7329], [0.7329, 0.7329, 0.2191], [0.7809, 0.2671, 0.2671]]
}

(2)
{
  "formula": "NiAg2P",
  "functional": "PBE",
  "state": "relaxed",
  "e_form_ev_per_atom": 0.440,
  "space_group": "I-42d, No. 122",
  "crystal_system": "tetragonal",
  "lattice": [[-3.6339, 3.6339, 2.5239], [3.6339, -3.6339, 2.5239], [3.6339, 3.6339, -2.5239]],
  "species": ["Ni", "Ni", "Ag", "Ag", "Ag", "Ag", "P", "P"],
  "fractional_positions": [[0.0000, 0.0000, 0.0000], [0.7500, 0.2500, 0.5000], [0.1505, 0.6250, 0.0255], [0.3750, 0.4005, 0.5255], [0.5995, 0.1250, 0.9745], [0.8750, 0.8495, 0.4745], [0.2500, 0.7500, 0.5000], [0.5000, 0.5000, 0.0000]]
}

(3)
{
  "formula": "Sr2ZnCdH",
  "functional": "PBE",
  "state": "relaxed",
  "space_group": "P4/mmm, No. 123",
  "relative_energy_mev_per_atom": 0,
  "crystal_system": "tetragonal",
  "lattice": [[5.3409, 0.0000, 0.0000], [0.0000, 5.3409, 0.0000], [0.0000, 0.0000, 4.3038]],
  "species": ["Sr", "Sr", "Zn", "Cd", "H"],
  "fractional_positions": [[0.0000, 0.5000, 0.0000], [0.5000, 0.0000, 0.0000], [0.0000, 0.0000, 0.5000], [0.5000, 0.5000, 0.5000], [0.0000, 0.0000, 0.0000]]
}

(4)
{
  "formula": "TbNd3Pu2Se6",
  "functional": "PBE",
  "state": "relaxed",
  "space_group": "C2/m, No. 12",
  "crystal_system": "monoclinic",
  "formation_energy_uncorrected_kj_per_mol_atoms": -168.2,
  "lattice": [[3.6067, -6.2499, 0.0000], [3.6067, 6.2499, 0.0000], [-2.4041, 0.0000, 6.8684]],
  "species": ["Tb", "Nd", "Nd", "Nd", "Pu", "Pu", "Se", "Se", "Se", "Se", "Se", "Se"],
  "fractional_positions": [[0.0000, 0.0000, 0.0000], [0.1676, 0.8324, 0.5000], [0.5000, 0.5000, 0.5000], [0.8324, 0.1676, 0.5000], [0.3336, 0.6664, 0.0000], [0.6664, 0.3336, 0.0000], [0.0801, 0.4120, 0.2403], [0.2511, 0.2511, 0.7577], [0.4120, 0.0801, 0.2403], [0.5880, 0.9199, 0.7597], [0.7489, 0.7489, 0.2423], [0.9199, 0.5880, 0.7597]]
}

(5)
{
  "formula": "PdAu",
  "functional": "PBE",
  "state": "relaxed",
  "e_form_ev_per_atom": 0.611,
  "space_group": "P6_3/mmc, No. 194",
  "crystal_system": "hexagonal",
  "lattice": [[4.5393, 0.0000, 0.0000], [-2.2697, 3.9312, 0.0000], [0.0000, 0.0000, 5.3580]],
  "species": ["Pd", "Pd", "Au", "Au"],
  "fractional_positions": [[0.3333, 0.6667, 0.2500], [0.6667, 0.3333, 0.7500], [0.3333, 0.6667, 0.7500], [0.6667, 0.3333, 0.2500]]
}

(6)
{
  "formula": "BaCd3Ru",
  "functional": "PBE",
  "state": "relaxed",
  "e_form_ev_per_atom": -0.001,
  "space_group": "Pm-3m, No. 221",
  "relative_energy_mev_per_atom": 0,
  "crystal_system": "cubic",
  "lattice": [[5.2711, 0.0000, 0.0000], [0.0000, 5.2711, 0.0000], [0.0000, 0.0000, 5.2711]],
  "species": ["Ba", "Cd", "Cd", "Cd", "Ru"],
  "fractional_positions": [[0.0000, 0.0000, 0.0000], [0.0000, 0.5000, 0.5000], [0.5000, 0.0000, 0.5000], [0.5000, 0.5000, 0.0000], [0.5000, 0.5000, 0.5000]]
}

(7)
{
  "formula": "Ac2Si3Pt",
  "functional": "PBE",
  "state": "relaxed",
  "space_group": "Fmmm, No. 69",
  "crystal_system": "orthorhombic",
  "formation_energy_uncorrected_kj_per_mol_atoms": -89.8,
  "lattice": [[0.0000, 4.6414, 7.2759], [4.2109, 0.0000, 7.2759], [4.2109, 4.6414, 0.0000]],
  "species": ["Ac", "Ac", "Ac", "Ac", "Si", "Si", "Si", "Si", "Si", "Si", "Pt", "Pt"],
  "fractional_positions": [[0.2483, 0.7517, 0.2483], [0.2500, 0.2500, 0.2500], [0.7500, 0.7500, 0.7500], [0.7517, 0.2483, 0.7517], [0.1655, 0.1655, 0.8345], [0.1660, 0.6681, 0.8340], [0.3319, 0.8340, 0.6681], [0.6681, 0.1660, 0.3319], [0.8340, 0.3319, 0.1660], [0.8345, 0.8345, 0.1655], [0.3328, 0.3328, 0.6672], [0.6672, 0.6672, 0.3328]]
}

(8)
{
  "formula": "LiMgCdIn2",
  "functional": "PBE",
  "state": "relaxed",
  "e_form_ev_per_atom": -0.133,
  "space_group": "P2_1/m, No. 11",
  "crystal_system": "monoclinic",
  "lattice": [[7.0369, 0.0000, 0.0000], [0.0000, 4.3706, 0.0000], [-0.6917, 0.0000, 7.2791]],
  "species": ["Li", "Li", "Mg", "Mg", "Cd", "Cd", "In", "In", "In", "In"],
  "fractional_positions": [[0.2410, 0.2500, 0.2592], [0.7590, 0.7500, 0.7408], [0.4478, 0.2500, 0.8421], [0.5522, 0.7500, 0.1579], [0.0453, 0.2500, 0.6512], [0.9547, 0.7500, 0.3488], [0.1570, 0.7500, 0.9612], [0.3487, 0.7500, 0.5461], [0.6513, 0.2500, 0.4539], [0.8430, 0.2500, 0.0388]]
}

no.,total energy (Ha/atom)
1,-0.1277
2,-0.1391
3,-0.0744
4,-0.2739
5,-0.1332
6,-0.1025
7,-0.2212
8,-0.0777